No. 1
SiRuI3: optimized geometry, PBE.

```
SiRuI3
1.0
5.343 0.000 0.000
0.000 5.343 0.000
0.000 0.000 5.343
Ru I Si
1 3 1
Cartesian
0.000 0.000 0.000
2.672 0.000 0.000
0.000 0.000 2.672
0.000 2.672 0.000
2.672 2.672 2.672
```

No. 2
ReSi2Rh: optimized geometry, PBE.

```
ReSi2Rh
1.0
-2.470 -0.722 -0.893
0.190 -2.346 1.371
-3.140 3.275 6.037
Si Rh Re
2 1 1
Cartesian
-3.100 3.233 5.961
-1.942 -0.698 1.781
-3.516 0.943 4.807
-1.572 1.640 3.023
```

no.,total moment (μB per cell),energy above the most stable polymorph in this dataset (eV/atom),formation energy without anion corrections (kJ/mol of atoms)
1,0.0,0.000,74
2,0.0,0.461,1